# MgPb PBEsol optimized geometry
# * calculated volume: 26.37 Å³/atom
# * E: -2.86 eV per atom
# * formation enthalpy at 0 K: 0.00 eV per atom
# * density of states at the Fermi level: 1.99 states/eV per cell
# * size of the total moment: 0.000 μB/atom
data_MgPb
_space_group_name_H-M_alt 'P -3 m 1'
_space_group_IT_number 164
_space_group_name_Hall '-P 3 2"'
_cell_length_a 3.3684
_cell_length_b 3.3684
_cell_length_c 10.7349
_cell_angle_alpha 90.00
_cell_angle_beta 90.00
_cell_angle_gamma 120.00
loop_
_atom_site_label
_atom_site_fract_x
_atom_site_fract_y
_atom_site_fract_z
Mg1 0.3333 0.6667 0.1158
Pb1 0.3333 0.6667 0.6422